# 1
## Ho2Tm5Sc12 (GGA-PBE)

Data for an optimized crystal structure of Ho2Tm5Sc12.

Geometry as extended XYZ:
```
19
Lattice="8.568 0.000 0.000 -4.284 7.359 1.215 0.000 -1.592 7.913" Properties=species:S:1:pos:R:3 pbc="T T T"
Ho 5.881 0.000 0.000
Ho 2.687 0.000 0.000
Tm 0.000 2.556 5.149
Tm 0.000 2.792 8.596
Tm 0.000 -0.796 3.956
Tm 4.284 2.975 0.531
Tm 4.284 3.211 3.978
Sc 4.284 5.851 1.933
Sc -2.749 3.897 6.787
Sc 2.749 3.897 6.787
Sc -1.631 4.937 3.625
Sc 1.631 4.937 3.625
Sc 0.000 5.526 6.352
Sc 4.284 0.241 2.775
Sc 5.915 0.830 5.502
Sc 2.653 0.830 5.502
Sc 7.033 1.870 2.340
Sc 1.535 1.870 2.340
Sc 0.000 -0.084 7.194
```

Properties
- space group = C2/m
- volume (Å³ per cell) = 515.5

***

# 2
## Ho12Tm2Sc5 (GGA-PBE)

Data for an optimized crystal structure of Ho12Tm2Sc5.

Geometry as extended XYZ:
```
19
Lattice="-7.754 1.201 3.660 7.348 0.318 5.222 0.548 8.118 -1.501" Properties=species:S:1:pos:R:3 pbc="T T T"
Ho -1.483 2.271 6.355
Ho 4.897 6.524 2.178
Ho 0.311 7.234 4.343
Ho 4.542 3.591 4.171
Ho 1.306 4.093 5.698
Ho 3.489 6.687 5.199
Ho -3.347 2.950 2.183
Ho -4.400 6.046 3.211
Ho -1.163 5.544 1.683
Ho -4.754 3.113 5.203
Ho -0.169 2.403 3.039
Ho 1.625 7.366 1.027
Tm -6.098 0.944 2.878
Tm -1.656 0.256 0.782
Sc 2.008 4.902 2.645
Sc 2.486 1.119 4.899
Sc 0.274 4.059 -0.751
Sc -2.343 8.518 2.482
Sc -1.865 4.735 4.736
```

Properties
- space group = C2/m
- volume (Å³ per cell) = 566.9

***

# 3
## Ho2TmSc8 (GGA-PBE)

Data for an optimized crystal structure of Ho2TmSc8.

Geometry as extended XYZ:
```
11
Lattice="5.170 1.840 0.000 2.861 8.187 0.000 1.431 4.093 7.972" Properties=species:S:1:pos:R:3 pbc="T T T"
Ho 1.431 4.093 3.043
Ho 2.861 8.187 4.930
Tm 2.585 0.920 0.000
Sc 4.669 3.267 2.026
Sc 6.100 7.361 5.947
Sc 2.697 4.485 0.000
Sc 5.446 9.106 3.222
Sc 4.016 5.013 4.750
Sc 5.334 5.541 0.000
Sc 3.362 6.759 2.026
Sc 4.792 10.852 5.947
```

Properties
- space group = C2/m
- volume (Å³ per cell) = 295.5

***

# 4
## Ho6TmSc (GGA-PBE)

Data for an optimized crystal structure of Ho6TmSc.

Geometry as extended XYZ:
```
8
Lattice="-5.037 -2.655 -3.490 -0.518 -4.466 4.588 -6.313 0.949 2.208" Properties=species:S:1:pos:R:3 pbc="T T T"
Ho -3.844 -3.256 4.251
Ho -6.538 -4.349 2.498
Ho -5.331 -1.823 0.808
Ho -8.024 -2.916 -0.945
Ho -9.510 -3.898 3.693
Ho -2.358 -2.275 -0.387
Tm -0.259 -2.233 2.294
Sc 0.000 0.000 0.000
```

Properties
- energy above the most stable polymorph in this dataset (eV per formula unit) = 1.43
- space group = P-1
- volume (Å³ per cell) = 245.6

***

# 5
## Ho8Tm2Sc3 (GGA-PBE)

Data for an optimized crystal structure of Ho8Tm2Sc3.

Geometry as extended XYZ:
```
13
Lattice="5.761 0.347 1.338 1.924 8.177 1.661 0.855 -0.474 8.507" Properties=species:S:1:pos:R:3 pbc="T T T"
Ho 2.959 4.629 6.312
Ho 5.582 3.421 5.194
Ho 5.464 1.351 2.560
Ho 3.076 6.700 8.946
Ho 4.981 5.189 2.521
Ho 4.407 0.547 6.194
Ho 4.133 7.503 5.311
Ho 3.559 2.861 8.985
Tm 2.845 2.591 3.719
Tm 5.696 5.459 7.787
Sc 2.881 0.173 0.669
Sc 1.144 1.860 6.660
Sc 1.636 5.843 3.508
```

Properties
- energy above the most stable polymorph in this dataset (eV per formula unit) = 0.00
- space group = C2/m
- volume (Å³ per cell) = 389.5

***

# 6
## Ho7TmSc3 (GGA-PBE)

Data for an optimized crystal structure of Ho7TmSc3.

Geometry as extended XYZ:
```
11
Lattice="5.664 -0.101 -0.130 -2.684 7.647 0.835 -2.684 -1.044 7.621" Properties=species:S:1:pos:R:3 pbc="T T T"
Ho 0.062 1.274 1.631
Ho 0.092 -0.534 4.577
Ho 0.204 1.931 7.735
Ho 0.092 4.570 0.591
Ho -2.684 3.301 4.228
Ho 0.204 7.036 3.749
Ho 0.234 5.228 6.695
Tm 0.148 3.251 4.163
Sc -2.684 5.795 2.281
Sc 2.832 -0.051 -0.065
Sc -2.684 0.808 6.175
```

Properties
- space group = Immm
- volume (Å³ per cell) = 330.1

***

# 7
## Ho2Tm2Sc3 (GGA-PBE)

Data for an optimized crystal structure of Ho2Tm2Sc3.

Geometry as extended XYZ:
```
14
Lattice="-3.083 4.273 -6.053 7.822 -1.229 -1.306 -3.775 -7.066 0.481" Properties=species:S:1:pos:R:3 pbc="T T T"
Ho -3.083 -5.772 0.393
Ho 2.961 -2.400 -3.852
Ho 2.200 -4.884 -1.672
Ho 2.934 0.739 -2.571
Tm -1.558 -2.917 0.199
Tm -0.199 -1.904 -3.325
Tm -1.458 1.786 -3.626
Tm 1.097 3.286 -6.178
Sc 0.165 -4.626 -4.725
Sc -2.630 -0.792 -4.939
Sc 1.278 -1.903 -0.620
Sc -2.683 -3.641 -2.578
Sc 5.880 -1.461 -2.652
Sc 0.883 0.358 -5.118
```

Properties
- space group = I2_13
- volume (Å³ per cell) = 397.9

***

# 8
## Ho2Tm2Sc7 (GGA-PBE)

Data for an optimized crystal structure of Ho2Tm2Sc7.

Geometry as extended XYZ:
```
11
Lattice="-3.323 -7.805 -3.241 4.812 -2.337 3.429 -5.270 2.234 2.757" Properties=species:S:1:pos:R:3 pbc="T T T"
Ho -2.790 -6.228 -0.504
Ho -0.992 -1.681 3.449
Tm -4.797 -2.637 1.279
Tm 1.015 -5.272 1.666
Sc -2.762 -0.304 0.983
Sc -5.249 -5.687 1.680
Sc -1.019 -7.605 1.962
Sc 1.467 -2.222 1.265
Sc 0.000 0.000 0.000
Sc -2.384 -4.873 2.629
Sc -1.397 -3.035 0.316
```

Properties
- energy above the most stable polymorph in this dataset (eV per formula unit) = 0.12
- space group = C2/m
- volume (Å³ per cell) = 296.5

***

# 9
## Ho3Tm3Sc (GGA-PBE)

Data for an optimized crystal structure of Ho3Tm3Sc.

Geometry as extended XYZ:
```
14
Lattice="5.515 0.000 0.000 0.000 9.369 -0.010 0.000 -4.676 8.120" Properties=species:S:1:pos:R:3 pbc="T T T"
Ho 4.136 3.319 6.558
Ho 4.136 -0.656 1.967
Ho 4.136 -2.646 7.705
Ho 1.379 1.375 1.552
Ho 1.379 5.349 6.142
Ho 1.379 7.339 0.404
Tm 1.379 1.997 5.014
Tm 1.379 -1.333 3.882
Tm 1.379 -0.648 7.333
Tm 4.136 2.696 3.096
Tm 4.136 6.027 4.227
Tm 4.136 5.341 0.776
Sc 4.136 0.005 5.410
Sc 1.379 4.688 2.699
```

Properties
- energy above the most stable polymorph in this dataset (eV per formula unit) = 0.00
- space group = P6_3/m
- volume (Å³ per cell) = 419.3

***

# 10
## Ho4TmSc6 (GGA-PBE)

Data for an optimized crystal structure of Ho4TmSc6.

Geometry as extended XYZ:
```
11
Lattice="8.636 -1.554 -2.285 -5.371 6.939 2.285 -5.371 -0.426 7.293" Properties=species:S:1:pos:R:3 pbc="T T T"
Ho -3.445 -0.189 4.621
Ho -0.679 1.817 2.672
Ho -3.445 4.367 1.524
Ho -5.276 5.477 8.055
Tm 0.000 0.000 0.000
Sc -6.617 5.282 5.037
Sc -6.617 2.742 6.764
Sc 3.386 0.360 0.529
Sc 1.633 -0.990 2.504
Sc -2.998 3.088 4.541
Sc 1.633 2.693 0.000
```

Properties
- energy above the most stable polymorph in this dataset (eV per formula unit) = 1.81
- space group = I-42m
- volume (Å³ per cell) = 313.3

***

# 11
## Ho2Tm3Sc6 (GGA-PBE)

Data for an optimized crystal structure of Ho2Tm3Sc6.

Geometry as extended XYZ:
```
11
Lattice="-0.960 0.461 3.213 0.633 -2.387 2.314 26.273 12.212 7.881" Properties=species:S:1:pos:R:3 pbc="T T T"
Ho 9.406 3.405 5.887
Ho 16.540 6.880 7.520
Tm 0.000 0.000 0.000
Tm 21.242 8.582 10.464
Tm 4.704 1.703 2.944
Sc 6.887 1.588 7.178
Sc 19.059 8.697 6.230
Sc 13.993 5.050 8.805
Sc 11.953 5.235 4.603
Sc 2.188 -0.112 4.235
Sc 23.758 10.397 9.173
```

Properties
- space group = R-3m
- volume (Å³ per cell) = 297.2

***

# 12
## HoTm9Sc2 (GGA-PBE)

Data for an optimized crystal structure of HoTm9Sc2.

Geometry as extended XYZ:
```
12
Lattice="3.416 0.000 0.000 0.000 10.894 0.000 0.000 -5.447 9.435" Properties=species:S:1:pos:R:3 pbc="T T T"
Ho 0.000 0.000 0.000
Tm 0.000 -2.724 4.717
Tm 0.000 2.724 4.717
Tm 0.000 5.447 0.000
Tm 1.708 2.928 1.691
Tm 1.708 -2.519 7.744
Tm 1.708 0.000 3.381
Tm 1.708 5.447 6.053
Tm 1.708 7.966 1.691
Tm 1.708 2.519 7.744
Sc 0.000 0.000 6.290
Sc 0.000 5.447 3.145
```

Properties
- energy above the most stable polymorph in this dataset (eV per formula unit) = 0.11
- space group = P6/mmm
- volume (Å³ per cell) = 351.1

***

Here are the calculated formation energy numbers, same order: 0.133, 0.152, 0.140, 0.211, 0.194, 0.277, 0.248, 0.174, 0.013, 0.291, 0.057, 0.049 (eV per atom).
Here are the calculated VASP energy numbers, same order: -0.20302, -0.17921, -0.20961, -0.16804, -0.17538, -0.17527, -0.18561, -0.20216, -0.17528, -0.19234, -0.20024, -0.17425 (Ha/atom).